The following is a PBE-GGA calculation of an optimized crystal structure of EuSi2, from the Alexandria database.

Output
- VASP energy: -7.5543 eV per atom
- Uncorrected formation energy: -0.5142 eV/atom

POSCAR file:
```
EuSi2
1.0
-0.780 -1.952 3.699
-1.998 -3.131 -2.075
7.320 -0.875 -1.365
Eu Si
2 4
Direct
0.625 0.875 0.750
0.375 0.125 0.250
0.209 0.459 0.918
0.959 0.709 0.418
0.041 0.291 0.582
0.791 0.541 0.082
```



The following is a PBE-GGA calculation of an optimized crystal structure of EuSi2, from the Alexandria database.

Output
- VASP energy: -7.5170 eV per atom
- Uncorrected formation energy: -0.4769 eV/atom

POSCAR file:
```
EuSi2
1.0
4.093 0.000 0.000
-2.047 3.545 0.000
0.000 0.000 4.256
Eu Si
1 2
Direct
0.000 0.000 0.000
0.333 0.667 0.499
0.667 0.333 0.501
```



The following is a PBE-GGA calculation of an optimized crystal structure of EuSi2, from the Alexandria database.

Output
- VASP energy: -7.2739 eV per atom
- Uncorrected formation energy: -0.2337 eV/atom

POSCAR file:
```
EuSi2
1.0
-0.873 -1.780 2.745
-2.056 -1.911 -1.893
5.456 -1.535 -1.348
Eu Si
1 2
Direct
0.000 0.000 0.000
0.706 0.706 0.413
0.294 0.294 0.587
```



The following is a PBE-GGA calculation of an optimized crystal structure of Eu5Si3, from the Alexandria database.

Output
- VASP energy: -8.9582 eV per atom
- Uncorrected formation energy: -0.5030 eV/atom

POSCAR file:
```
Eu5Si3
1.0
-8.607 2.212 -2.566
-5.626 -6.324 3.730
6.580 5.188 3.918
Eu Si
10 6
Direct
0.532 0.032 0.855
0.177 0.677 0.145
0.032 0.177 0.500
0.677 0.532 0.500
0.468 0.968 0.145
0.823 0.323 0.855
0.968 0.823 0.500
0.323 0.468 0.500
0.500 0.500 0.000
0.000 0.000 0.000
0.890 0.390 0.280
0.110 0.610 0.720
0.390 0.110 0.500
0.610 0.890 0.500
0.250 0.250 0.000
0.750 0.750 0.000
```



The following is a PBE-GGA calculation of an optimized crystal structure of EuSiSn, from the Alexandria database.

Output
- VASP energy: -6.9831 eV per atom
- Uncorrected formation energy: -0.4163 eV/atom

POSCAR file:
```
EuSiSn
1.0
5.046 0.000 0.000
0.000 4.287 0.000
0.000 -2.144 3.713
Eu Si Sn
1 1 1
Direct
0.701 0.667 0.333
0.042 0.000 0.000
0.257 0.333 0.667
```



The following is a PBE-GGA calculation of an optimized crystal structure of EuSiSn2, from the Alexandria database.

Output
- VASP energy: -6.1975 eV per atom
- Uncorrected formation energy: -0.2718 eV/atom

POSCAR file:
```
EuSiSn2
1.0
-3.756 -0.058 2.801
2.690 -0.783 3.592
0.424 4.487 0.661
Eu Si Sn
1 1 2
Direct
0.500 0.500 0.500
0.500 0.000 0.000
0.000 0.000 0.500
0.000 0.500 0.000
```



The following is a PBE-GGA calculation of an optimized crystal structure of SrEuSi4, from the Alexandria database.

Output
- VASP energy: -5.8760 eV per atom
- Offset from the most stable computed form: 168 meV/atom
- Uncorrected formation energy: -0.2680 eV/atom

POSCAR file:
```
SrEuSi4
1.0
-3.340 -4.264 -1.293
0.926 -2.959 -4.626
1.887 -5.226 0.369
Eu Sr Si
1 1 4
Direct
0.250 0.250 0.250
0.000 0.000 0.000
0.617 0.617 0.150
0.617 0.150 0.617
0.617 0.617 0.617
0.150 0.617 0.617
```



The following is a PBE-GGA calculation of an optimized crystal structure of SrEuSi4, from the Alexandria database.

Output
- VASP energy: -6.0440 eV per atom
- Offset from the most stable computed form: 0 meV/atom
- Uncorrected formation energy: -0.4359 eV/atom

POSCAR file:
```
SrEuSi4
1.0
7.542 -0.029 0.000
5.034 5.616 0.000
-6.288 -2.794 3.089
Sr Eu Si
1 1 4
Direct
0.000 0.000 0.000
0.250 0.750 0.500
0.667 0.167 0.500
0.586 0.586 0.000
0.833 0.333 0.500
0.414 0.414 0.000
```



The following is a PBE-GGA calculation of an optimized crystal structure of SrEu3Si, from the Alexandria database.

Output
- VASP energy: -7.6903 eV per atom
- Uncorrected formation energy: -0.1047 eV/atom

POSCAR file:
```
SrEu3Si
1.0
-0.907 -0.508 -5.882
-1.249 -5.800 0.694
-5.771 1.335 0.774
Eu Sr Si
3 1 1
Direct
0.000 0.500 0.000
0.000 0.000 0.500
0.500 0.000 0.000
0.500 0.500 0.500
0.000 0.000 0.000
```



The following is a PBE-GGA calculation of an optimized crystal structure of SrEuTlSi, from the Alexandria database.

Output
- VASP energy: -5.2242 eV per atom
- Uncorrected formation energy: -0.2879 eV/atom

POSCAR file:
```
SrEuTlSi
1.0
-1.898 -5.159 0.154
2.661 -3.823 2.923
-2.230 -1.973 4.624
Eu Sr Tl Si
1 1 1 1
Direct
0.000 0.000 0.000
0.500 0.500 0.500
0.250 0.250 0.250
0.750 0.750 0.750
```



The following is a PBE-GGA calculation of an optimized crystal structure of SrEuZnSi, from the Alexandria database.

Output
- VASP energy: -4.9835 eV per atom
- Uncorrected formation energy: -0.3202 eV/atom

POSCAR file:
```
SrEuZnSi
1.0
-1.100 5.194 0.549
-2.718 2.569 -3.808
-5.015 1.584 0.908
Eu Sr Zn Si
1 1 1 1
Direct
0.000 0.000 0.000
0.500 0.500 0.500
0.250 0.250 0.250
0.750 0.750 0.750
```



The following is a PBE-GGA calculation of an optimized crystal structure of TbEu2Si, from the Alexandria database.

Output
- VASP energy: -7.6324 eV per atom
- Uncorrected formation energy: 0.0181 eV/atom

POSCAR file:
```
TbEu2Si
1.0
-1.270 1.472 3.142
-2.604 -1.759 1.944
6.301 -5.267 7.187
Eu Si Tb
2 1 1
Direct
0.766 0.766 0.701
0.234 0.234 0.299
0.500 0.500 0.500
0.000 0.000 0.000
```